Entry 1:
A plane-wave DFT calculation with PBE-GGA was carried out for a geometry-optimized Ho7TlRh4 structure.

Lattice parameters (Å, degrees): 5.511 8.404 7.286 74.92 67.78 70.86
Positions (direct):
Ho 0.677 0.375 0.270
Rh 0.434 0.777 0.356
Ho 0.212 0.123 0.453
Ho 0.500 0.000 0.000
Rh 0.704 0.657 0.936
Ho 0.075 0.626 0.224
Tl 0.000 0.000 0.000
Ho 0.323 0.625 0.730
Ho 0.788 0.877 0.547
Rh 0.566 0.223 0.644
Rh 0.296 0.343 0.064
Ho 0.925 0.374 0.776

Summary:
The total energy comes out at -69.333 eV per cell. The calculation puts the energy of formation from the pure elements at -460 meV per atom.



Entry 2:
A plane-wave DFT calculation with PBE-GGA was carried out for a geometry-optimized Ho12Tl5Rh2 structure.

Lattice parameters (Å, degrees): 7.585 9.233 9.664 103.89 90.00 114.25
Positions (direct):
Ho 0.497 0.994 0.759
Ho 0.986 0.972 0.173
Ho 0.601 0.701 0.427
Ho 0.097 0.674 0.908
Tl 0.000 0.000 0.500
Tl 0.690 0.380 0.839
Tl 0.699 0.397 0.362
Rh 0.289 0.000 0.000
Ho 0.903 0.326 0.092
Ho 0.014 0.028 0.827
Ho 0.399 0.299 0.573
Ho 0.576 0.674 0.908
Ho 0.100 0.701 0.427
Ho 0.900 0.299 0.573
Ho 0.503 0.006 0.241
Tl 0.301 0.603 0.638
Ho 0.424 0.326 0.092
Tl 0.310 0.620 0.161
Rh 0.711 0.000 0.000

Summary:
The total energy comes out at -85.539 eV per cell. The calculation puts the energy of formation from the pure elements at -214 meV per atom.



Entry 3:
A plane-wave DFT calculation with PBE-GGA was carried out for a geometry-optimized Ho8Tl2Rh structure.

Lattice parameters (Å, degrees): 5.245 6.725 9.851 112.67 105.44 90.00
Positions (direct):
Ho 0.350 0.005 0.701
Ho 0.592 0.440 0.183
Ho 0.981 0.208 0.963
Ho 0.019 0.792 0.037
Ho 0.650 0.995 0.299
Rh 0.500 0.000 0.000
Ho 0.408 0.560 0.817
Ho 0.207 0.330 0.414
Tl 0.171 0.738 0.343
Ho 0.793 0.670 0.586
Tl 0.829 0.262 0.657

Summary:
The total energy comes out at -51.740 eV per cell. The calculation puts the energy of formation from the pure elements at -276 meV per atom.



Entry 4:
A plane-wave DFT calculation with PBE-GGA was carried out for a geometry-optimized Ho8TlRh2 structure.

Lattice parameters (Å, degrees): 5.440 7.919 7.919 113.92 97.83 97.83
Positions (direct):
Ho 0.075 0.331 0.074
Tl 0.500 0.000 0.000
Ho 0.925 0.926 0.669
Ho 0.695 0.390 0.390
Ho 0.925 0.669 0.926
Rh 0.000 0.696 0.304
Rh 0.000 0.304 0.696
Ho 0.305 0.610 0.610
Ho 0.500 0.754 0.246
Ho 0.500 0.246 0.754
Ho 0.075 0.074 0.331

Summary:
The total energy comes out at -57.718 eV per cell. The calculation puts the energy of formation from the pure elements at -366 meV per atom.



Entry 5:
A plane-wave DFT calculation with PBE-GGA was carried out for a geometry-optimized Ho2TlRh structure.

Lattice parameters (Å, degrees): 3.851 3.851 8.481 76.88 76.88 60.00
Positions (direct):
Ho 0.267 0.267 0.199
Tl 0.500 0.500 0.500
Rh 0.000 0.000 0.000
Ho 0.733 0.733 0.801

Summary:
The total energy comes out at -21.010 eV per cell. The calculation puts the energy of formation from the pure elements at -534 meV per atom.



Entry 6:
A plane-wave DFT calculation with PBE-GGA was carried out for a geometry-optimized Ho4TlRh structure.

Lattice parameters (Å, degrees): 6.071 9.062 7.798 115.53 99.52 112.67
Positions (direct):
Tl 0.627 0.377 0.754
Ho 0.390 0.939 0.660
Ho 0.905 0.796 0.159
Ho 0.754 0.363 0.159
Ho 0.610 0.061 0.340
Tl 0.373 0.623 0.246
Rh 0.749 0.999 0.999
Ho 0.231 0.279 0.340
Ho 0.095 0.204 0.841
Ho 0.246 0.637 0.841
Rh 0.251 0.001 0.001
Ho 0.769 0.721 0.660

Summary:
The total energy comes out at -61.458 eV per cell. The calculation puts the energy of formation from the pure elements at -450 meV per atom.



Entry 7:
A plane-wave DFT calculation with PBE-GGA was carried out for a geometry-optimized Ho5Tl2Rh structure.

Lattice parameters (Å, degrees): 4.736 7.390 12.285 90.00 90.00 90.00
Positions (direct):
Ho 0.000 0.366 0.292
Ho 0.500 0.180 0.078
Ho 0.500 0.680 0.422
Tl 0.500 0.414 0.834
Rh 0.000 0.500 0.500
Tl 0.500 0.086 0.334
Tl 0.500 0.586 0.166
Ho 0.000 0.634 0.708
Rh 0.000 0.000 0.000
Ho 0.000 0.500 0.000
Ho 0.500 0.820 0.922
Ho 0.500 0.320 0.578
Ho 0.000 0.000 0.500
Tl 0.500 0.914 0.666
Ho 0.000 0.134 0.792
Ho 0.000 0.866 0.208

Summary:
The total energy comes out at -77.105 eV per cell. The calculation puts the energy of formation from the pure elements at -447 meV per atom.



Entry 8:
A plane-wave DFT calculation with PBE-GGA was carried out for a geometry-optimized Ho6TlRh5 structure.

Lattice parameters (Å, degrees): 4.834 7.147 7.657 90.00 108.19 90.00
Positions (direct):
Ho 0.827 0.745 0.655
Tl 0.000 0.000 0.000
Ho 0.173 0.255 0.345
Ho 0.500 0.268 0.000
Ho 0.500 0.732 0.000
Ho 0.827 0.255 0.655
Rh 0.000 0.500 0.000
Rh 0.667 0.500 0.334
Rh 0.335 0.000 0.670
Ho 0.173 0.745 0.345
Rh 0.665 0.000 0.330
Rh 0.333 0.500 0.666

Summary:
The total energy comes out at -75.735 eV per cell. The calculation puts the energy of formation from the pure elements at -762 meV per atom.



Entry 9:
A plane-wave DFT calculation with PBE-GGA was carried out for a geometry-optimized Ho6Tl5Rh structure.

Lattice parameters (Å, degrees): 5.285 7.539 9.062 114.58 107.09 90.00
Positions (direct):
Ho 0.154 0.386 0.308
Tl 0.664 0.664 0.328
Ho 0.154 0.922 0.308
Tl 0.000 0.500 0.000
Tl 0.336 0.336 0.672
Rh 0.000 0.000 0.000
Ho 0.500 0.226 0.000
Tl 0.320 0.820 0.640
Tl 0.680 0.180 0.360
Ho 0.846 0.078 0.692
Ho 0.500 0.774 0.000
Ho 0.846 0.614 0.692

Summary:
The total energy comes out at -51.436 eV per cell. The calculation puts the energy of formation from the pure elements at -399 meV per atom.



Entry 10:
A plane-wave DFT calculation with PBE-GGA was carried out for a geometry-optimized Ho2Tl2Rh structure.

Lattice parameters (Å, degrees): 3.542 3.542 10.121 100.08 100.08 90.00
Positions (direct):
Tl 0.803 0.803 0.605
Rh 0.000 0.000 0.000
Tl 0.197 0.197 0.395
Ho 0.418 0.418 0.836
Ho 0.582 0.582 0.164

Summary:
The total energy comes out at -23.412 eV per cell. The calculation puts the energy of formation from the pure elements at -434 meV per atom.



Entry 11:
A plane-wave DFT calculation with PBE-GGA was carried out for a geometry-optimized Ho5Tl2Rh structure.

Lattice parameters (Å, degrees): 5.403 8.654 12.405 90.00 90.00 108.19
Positions (direct):
Rh 0.194 0.388 0.250
Ho 0.923 0.847 0.602
Ho 0.299 0.597 0.072
Tl 0.886 0.772 0.368
Tl 0.886 0.772 0.132
Ho 0.701 0.403 0.928
Ho 0.701 0.403 0.572
Rh 0.806 0.612 0.750
Ho 0.292 0.583 0.750
Ho 0.077 0.153 0.102
Ho 0.077 0.153 0.398
Ho 0.923 0.847 0.898
Tl 0.114 0.228 0.868
Ho 0.708 0.417 0.250
Tl 0.114 0.228 0.632
Ho 0.299 0.597 0.428

Summary:
The total energy comes out at -71.007 eV per cell. The calculation puts the energy of formation from the pure elements at -66 meV per atom.



Entry 12:
A plane-wave DFT calculation with PBE-GGA was carried out for a geometry-optimized HoTlRh structure.

Lattice parameters (Å, degrees): 3.624 3.624 5.520 109.16 109.16 90.00
Positions (direct):
Tl 0.293 0.293 0.587
Ho 0.601 0.601 0.201
Rh 0.956 0.956 0.912

Summary:
The total energy comes out at -15.628 eV per cell. The calculation puts the energy of formation from the pure elements at -444 meV per atom.